[1]
Sr2PmSmS4 | Alexandria | GGA-PBE | relaxed; DOS at the Fermi energy = 3.482 states/eV per cell; formation energy without anion corrections = -2052 meV per atom; SG = P2/m, No. 10
1.0
7.0976 0.0000 0.0000
0.0000 4.1039 0.0000
-2.3705 0.0000 6.8668
Sr Pm Sm S
2 1 1 4
Cartesian
0.0000 0.0000 0.0000
3.5488 2.0519 0.0000
-1.1853 2.0519 3.4334
2.3635 0.0000 3.4334
0.0055 0.0000 5.0651
1.1878 2.0519 1.8069
3.5392 2.0519 5.0599
4.7215 0.0000 1.8017

***

[2]
AcDy6Ho4 | Alexandria | GGA-PBE | relaxed; E above lowest polymorph = 0.0 meV/atom; DOS at the Fermi energy = 40.885 states/eV per cell; ΔE_f = 13.80 kJ/mol of atoms; SG = Cmcm, No. 63
1.0
2.9008 -4.8419 0.0000
2.9008 4.8419 0.0000
0.0000 0.0000 25.5956
Ac Dy Ho
2 12 8
Cartesian
2.9008 2.9095 19.1967
2.9008 -2.9095 6.3989
2.9008 3.5692 4.5796
2.9008 3.5692 8.2182
2.9008 2.9341 15.3161
2.9008 2.9341 23.0773
2.9008 0.3556 6.3989
2.9008 0.0000 0.0000
2.9008 0.0000 12.7978
2.9008 -0.3556 19.1967
2.9008 -2.9341 2.5183
2.9008 -2.9341 10.2795
2.9008 -3.5692 17.3774
2.9008 -3.5692 21.0160
2.9008 3.3516 1.0676
2.9008 3.3516 11.7302
2.9008 0.3800 3.1222
2.9008 0.3800 9.6756
2.9008 -0.3800 15.9200
2.9008 -0.3800 22.4734
2.9008 -3.3516 13.8654
2.9008 -3.3516 24.5280

***

[3]
CuRe2P | Alexandria | GGA-PBE | relaxed; DOS at the Fermi energy = 1.315 states/eV per cell; ΔE_f = 12.77 kJ/mol of atoms; SG = Amm2, No. 38
1.0
3.8634 0.0000 0.0000
0.0000 1.4593 4.9599
0.0000 -1.4593 4.9599
Cu Re P
1 2 1
Cartesian
0.0000 0.0000 0.0000
0.0000 0.0000 7.2836
1.9317 0.0000 3.5472
1.9317 0.0000 5.8668

***

[4]
FeNiSe4 | Alexandria | GGA-PBE | relaxed; E above lowest polymorph = 16.4 meV/atom; DOS at the Fermi energy = 3.916 states/eV per cell; formation energy without anion corrections = -249 meV per atom; SG = C2/m, No. 12
1.0
6.0923 -1.7445 0.0000
6.0923 1.7445 0.0000
-3.1339 0.0000 5.3769
Fe Ni Se
1 1 4
Cartesian
0.0000 0.0000 0.0000
4.5254 0.0000 2.6884
-1.0228 0.0000 4.2509
2.3894 0.0000 3.8216
6.6613 0.0000 1.5553
10.0735 0.0000 1.1260

***

[5]
GdSn2Pb | Alexandria | GGA-PBE | relaxed; E above lowest polymorph = 92.0 meV/atom; DOS at the Fermi energy = 2.410 states/eV per cell; ΔE_f = -31.55 kJ/mol of atoms; SG = P4/mmm, No. 123
1.0
4.1533 0.0000 0.0000
0.0000 4.1533 0.0000
0.0000 0.0000 6.5220
Gd Sn Pb
1 2 1
Cartesian
0.0000 0.0000 0.0000
2.0767 2.0767 1.5931
2.0767 2.0767 4.9289
0.0000 0.0000 3.2610

***

[6]
CaZr2AuO | Alexandria | GGA-PBE | relaxed; DOS at the Fermi energy = 3.673 states/eV per cell; formation energy without anion corrections = -1186 meV per atom; SG = P4/mmm, No. 123
1.0
4.4575 0.0000 0.0000
0.0000 4.4575 0.0000
0.0000 0.0000 4.7056
Ca Zr Au O
1 2 1 1
Cartesian
0.0000 0.0000 0.0000
0.0000 2.2288 2.3528
2.2288 0.0000 2.3528
2.2288 2.2288 0.0000
0.0000 0.0000 2.3528

***

[7]
LaGa6 | Alexandria | GGA-PBE | relaxed; E above lowest polymorph = 0.0 meV/atom; DOS at the Fermi energy = 5.388 states/eV per cell; ΔE_f = -35.42 kJ/mol of atoms; SG = P4/nbm, No. 125
1.0
6.1027 0.0000 0.0000
0.0000 6.1027 0.0000
0.0000 0.0000 7.7772
La Ga
2 12
Cartesian
1.5257 4.5770 0.0000
4.5770 1.5257 0.0000
0.3449 3.3963 2.7282
0.3449 5.7578 5.0490
1.5257 1.5257 1.2684
1.5257 1.5257 6.5088
2.7065 3.3963 5.0490
2.7065 5.7578 2.7282
3.3963 0.3449 5.0490
3.3963 2.7065 2.7282
4.5770 4.5770 1.2684
4.5770 4.5770 6.5088
5.7578 0.3449 2.7282
5.7578 2.7065 5.0490

***

[8]
NaAgO2 | Alexandria | GGA-PBE | relaxed; DOS at the Fermi energy = 2.002 states/eV per cell; formation energy without anion corrections = -251 meV per atom; SG = R-3m, No. 166
1.0
1.7004 0.9817 6.1554
-1.7004 0.9817 6.1554
0.0000 -1.9634 6.1554
Na Ag O
1 1 2
Cartesian
0.0000 0.0000 0.0000
0.0000 0.0000 9.2331
0.0000 0.0000 2.1216
0.0000 0.0000 16.3445

***

[9]
HoMg4Ti | Alexandria | GGA-PBE | relaxed; DOS at the Fermi energy = 7.066 states/eV per cell; ΔE_f = 12.28 kJ/mol of atoms; SG = F-43m, No. 216
1.0
0.0000 4.1192 4.1192
4.1192 0.0000 4.1192
4.1192 4.1192 0.0000
Ho Mg Ti
1 4 1
Cartesian
0.0000 0.0000 0.0000
3.0945 3.0945 3.0945
5.1438 5.1438 3.0945
5.1438 3.0945 5.1438
3.0945 5.1438 5.1438
6.1788 6.1788 6.1788

***

[10]
LiLaBiPd | Alexandria | GGA-PBE | relaxed; DOS at the Fermi energy = 2.300 states/eV per cell; ΔE_f = -62.52 kJ/mol of atoms; SG = F-43m, No. 216
1.0
0.0000 3.5587 3.5587
3.5587 0.0000 3.5587
3.5587 3.5587 0.0000
Li La Bi Pd
1 1 1 1
Cartesian
0.0000 0.0000 0.0000
5.3381 5.3381 5.3381
1.7794 1.7794 1.7794
3.5587 3.5587 3.5587

***

[11]
SrBePt3 | Alexandria | GGA-PBE | relaxed; E above lowest polymorph = 140.6 meV/atom; DOS at the Fermi energy = 0.553 states/eV per cell; ΔE_f = -58.24 kJ/mol of atoms; SG = Amm2, No. 38
1.0
4.3576 0.0000 0.0000
0.0000 3.3598 3.0139
0.0000 -3.3598 3.0139
Sr Be Pt
1 1 3
Cartesian
0.0000 0.0000 0.0000
2.1788 0.0000 3.5864
0.0000 0.0000 3.0094
2.1788 -1.4600 1.7312
2.1788 1.4600 1.7312

***

[12]
Te2MoPBr | Alexandria | GGA-PBE | relaxed; DOS at the Fermi energy = 2.236 states/eV per cell; formation energy without anion corrections = 913 meV per atom; SG = P4/mmm, No. 123
1.0
5.3449 0.0000 0.0000
0.0000 5.3449 0.0000
0.0000 0.0000 4.7986
Te Mo P Br
2 1 1 1
Cartesian
0.0000 2.6725 0.0000
2.6725 0.0000 0.0000
0.0000 0.0000 2.3993
2.6725 2.6725 0.0000
2.6725 2.6725 2.3993

***

[13]
TcPdBr3 | Alexandria | GGA-PBE | relaxed; E above lowest polymorph = 0.0 meV/atom; DOS at the Fermi energy = 4.337 states/eV per cell; formation energy without anion corrections = 469 meV per atom; SG = Pm-3m, No. 221
1.0
5.1585 0.0000 0.0000
0.0000 5.1585 0.0000
0.0000 0.0000 5.1585
Tc Pd Br
1 1 3
Cartesian
0.0000 0.0000 0.0000
2.5792 2.5792 2.5792
0.0000 0.0000 2.5792
0.0000 2.5792 0.0000
2.5792 0.0000 0.0000

***

[14]
LaHo2In2 | Alexandria | GGA-PBE | relaxed; E above lowest polymorph = 0.0 meV/atom; DOS at the Fermi energy = 5.969 states/eV per cell; ΔE_f = -26.53 kJ/mol of atoms; SG = Cmmm, No. 65
1.0
1.7312 -12.1412 0.0000
1.7312 12.1412 0.0000
0.0000 0.0000 3.5172
La Ho In
1 2 2
Cartesian
0.0000 0.0000 0.0000
1.7312 7.6127 0.0000
1.7312 -7.6127 0.0000
1.7312 2.4101 1.7586
1.7312 -2.4101 1.7586

***

[15]
BaZn2CuSe | Alexandria | GGA-PBE | relaxed; DOS at the Fermi energy = 1.610 states/eV per cell; formation energy without anion corrections = -355 meV per atom; SG = P4/mmm, No. 123
1.0
4.7053 0.0000 0.0000
0.0000 4.7053 0.0000
0.0000 0.0000 6.2697
Ba Zn Cu Se
1 2 1 1
Cartesian
0.0000 0.0000 0.0000
0.0000 2.3527 3.1349
2.3527 0.0000 3.1349
0.0000 0.0000 3.1349
2.3527 2.3527 0.0000

***

[16]
CsPrSnSe4 | Alexandria | GGA-PBE | relaxed; formation energy without anion corrections = -1164 meV per atom; SG = P2_1/m, No. 11
1.0
7.1412 0.0000 0.0000
0.0000 7.3195 0.0000
-3.0998 0.0000 9.5159
Cs Pr Sn Se
2 2 2 8
Cartesian
0.3989 1.8299 4.1982
3.6425 5.4896 5.3177
-0.9711 1.8299 9.0378
5.0126 5.4896 0.4781
1.4345 5.4896 1.5755
2.6069 1.8299 7.9404
-2.4985 5.4896 8.7037
-0.5571 5.4896 3.1156
0.9552 3.7672 7.6110
0.9552 7.2120 7.6110
3.0862 0.1075 1.9049
3.0862 3.5523 1.9049
4.5986 1.8299 6.4003
6.5400 1.8299 0.8123

***

[17]
TmTi2Al5 | Alexandria | GGA-PBE | relaxed; DOS at the Fermi energy = 6.024 states/eV per cell; ΔE_f = -21.22 kJ/mol of atoms; SG = Immm, No. 71
1.0
-1.9473 3.0971 6.2558
1.9473 -3.0971 6.2558
1.9473 3.0971 -6.2558
Tm Ti Al
1 2 5
Cartesian
0.0000 0.0000 0.0000
1.9473 0.0000 3.4673
0.0000 3.0971 2.7886
1.9473 1.7386 -1.4254
1.9473 1.7386 1.4254
0.0000 3.0971 0.0000
0.0000 1.3584 4.8305
0.0000 1.3584 7.6812

***

[18]
KGe2Pd | Alexandria | GGA-PBE | relaxed; DOS at the Fermi energy = 2.539 states/eV per cell; ΔE_f = -7.00 kJ/mol of atoms; SG = R-3m, No. 166
1.0
2.1452 1.2385 7.7865
-2.1452 1.2385 7.7865
0.0000 -2.4770 7.7865
K Ge Pd
1 2 1
Cartesian
0.0000 0.0000 0.0000
0.0000 0.0000 3.1918
0.0000 0.0000 20.1676
0.0000 0.0000 11.6797

***

[19]
Pm2PrNi2 | Alexandria | GGA-PBE | relaxed; E above lowest polymorph = 95.6 meV/atom; DOS at the Fermi energy = 6.699 states/eV per cell; ΔE_f = -14.59 kJ/mol of atoms; SG = C2/m, No. 12
1.0
5.8282 -1.9665 0.0000
5.8282 1.9665 0.0000
-1.3625 0.0000 5.4644
Pm Pr Ni
2 1 2
Cartesian
1.6043 0.0000 0.4952
8.6896 0.0000 4.9692
5.1469 0.0000 2.7322
1.7435 0.0000 3.3322
8.5503 0.0000 2.1322

***

[20]
Sm3BiSe3 | Alexandria | GGA-PBE | relaxed; formation energy without anion corrections = -1497 meV per atom; SG = R-3, No. 148
1.0
4.2213 2.4372 7.3431
-4.2213 2.4372 7.3431
0.0000 -4.8744 7.3431
Sm Bi Se
6 2 6
Cartesian
-1.7025 -2.7534 9.0210
-3.2357 0.0977 13.0084
-1.5332 2.8511 9.0210
1.5332 -2.8510 13.0084
3.2357 -0.0977 9.0210
1.7025 2.7534 13.0084
0.0000 0.0000 3.6512
0.0000 0.0000 18.3782
-2.3064 0.1179 8.5639
-1.2553 -1.9385 13.4654
1.0511 -2.0563 8.5639
-1.0511 2.0563 13.4654
1.2553 1.9385 8.5639
2.3064 -0.1178 13.4654

***

Results for magnetization: 0.00, 0.01, 0.00, 1.38, 7.21, 0.00, 0.00, 0.00, 2.95, 0.00, 0.00, 3.95, 3.58, 0.83, 0.00, 0.00, 0.00, 0.00, 0.00, 0.00 (in μB per cell, following the order of the records).
Results for final energy: -5.7200, -4.4054, -8.4682, -4.9464, -6.7757, -6.6527, -3.6654, -3.7731, -3.0146, -4.6268, -5.3097, -3.9263, -3.6466, -4.1869, -2.7656, -4.5314, -5.0917, -3.9538, -5.3199, -5.5670 (in eV/atom, following the order of the records).